*a*
# NdDy2Cd (GGA-PBE, optimized geometry)
# Total magnetic moment ... 0.00 μB/cell
# Calculated volume ... 119.45 Å³/cell
data_NdDy2Cd
_chemical_formula_sum 'Nd1 Dy2 Cd1'
_space_group_name_H-M_alt 'P 4/m m m'
_space_group_IT_number 123
_space_group_name_Hall '-P 4 2'
_cell_length_a 3.6532
_cell_length_b 3.6532
_cell_length_c 8.9502
_cell_angle_alpha 90.00
_cell_angle_beta 90.00
_cell_angle_gamma 90.00
loop_
_atom_site_label
_atom_site_fract_x
_atom_site_fract_y
_atom_site_fract_z
_atom_site_occupancy
Nd1 0.0000 0.0000 0.0000 1
Dy1 0.5000 0.5000 0.2801 1
Cd1 0.0000 0.0000 0.5000 1

---

*b*
# NdDy2Cd (GGA-PBE, optimized geometry)
# Total magnetic moment ... 0.02 μB/cell
# Calculated volume ... 116.91 Å³/cell
data_NdDy2Cd
_chemical_formula_sum 'Nd1 Dy2 Cd1'
_space_group_name_H-M_alt 'P 4/m m m'
_space_group_IT_number 123
_space_group_name_Hall '-P 4 2'
_cell_length_a 4.8915
_cell_length_b 4.8915
_cell_length_c 4.8863
_cell_angle_alpha 90.00
_cell_angle_beta 90.00
_cell_angle_gamma 90.00
loop_
_atom_site_label
_atom_site_fract_x
_atom_site_fract_y
_atom_site_fract_z
_atom_site_occupancy
Nd1 0.0000 0.0000 0.0000 1
Dy1 0.0000 0.5000 0.5000 1
Cd1 0.5000 0.5000 0.0000 1

---

Result of the stability comparison: *a* is the most stable of them.

---

*a*
# Nd3DyCd (GGA-PBE, optimized geometry)
# Total magnetic moment ... 0.00 μB/cell
# Calculated volume ... 336.05 Å³/cell
data_Nd3DyCd
_chemical_formula_sum 'Nd6 Dy2 Cd2'
_space_group_name_H-M_alt 'P m m n'
_space_group_IT_number 59
_cell_length_a 3.8475
_cell_length_b 10.6616
_cell_length_c 8.1923
_cell_angle_alpha 90.00
_cell_angle_beta 90.00
_cell_angle_gamma 90.00
loop_
_space_group_symop_operation_xyz
'x,y,z'
'-x,-y,-z'
'-x+1/2,-y+1/2,z'
'x+1/2,y+1/2,-z'
'x+1/2,-y,-z'
'-x+1/2,y,z'
'-x,y+1/2,-z'
'x,-y+1/2,z'
loop_
_atom_site_label
_atom_site_fract_x
_atom_site_fract_y
_atom_site_fract_z
_atom_site_occupancy
Nd1 0.2500 0.9999 0.2435 1
Nd2 0.2500 0.2500 0.5508 1
Dy1 0.2500 0.2500 0.9412 1
Cd1 0.2500 0.7500 0.7633 1

---

*b*
# Nd3DyCd (GGA-PBE, optimized geometry)
# Total magnetic moment ... 0.00 μB/cell
# Calculated volume ... 636.28 Å³/cell
data_Nd3DyCd
_chemical_formula_sum 'Nd12 Dy4 Cd4'
_space_group_name_H-M_alt 'C 1 2/m 1'
_space_group_IT_number 12
_space_group_name_Hall '-C 2y'
_cell_length_a 19.8018
_cell_length_b 3.7651
_cell_length_c 8.7807
_cell_angle_alpha 90.00
_cell_angle_beta 103.61
_cell_angle_gamma 90.00
loop_
_atom_site_label
_atom_site_fract_x
_atom_site_fract_y
_atom_site_fract_z
_atom_site_occupancy
Nd1 0.0048 0.0000 0.2846 1
Nd2 0.0983 0.5000 0.0354 1
Nd3 0.1870 0.0000 0.3770 1
Dy1 0.2053 0.0000 0.8313 1
Cd1 0.1043 0.5000 0.5822 1

---

Result of the stability comparison: *b* is the most stable of them.

---

*a*
# Nd2DyCd (GGA-PBE, optimized geometry)
# Total magnetic moment ... 0.00 μB/cell
# Calculated volume ... 486.83 Å³/cell
data_Nd2DyCd
_chemical_formula_sum 'Nd8 Dy4 Cd4'
_space_group_name_H-M_alt 'F m -3 m'
_space_group_IT_number 225
_space_group_name_Hall '-F 4 2 3'
_cell_length_a 7.8667
_cell_length_b 7.8667
_cell_length_c 7.8667
_cell_angle_alpha 90.00
_cell_angle_beta 90.00
_cell_angle_gamma 90.00
loop_
_atom_site_label
_atom_site_fract_x
_atom_site_fract_y
_atom_site_fract_z
_atom_site_occupancy
Nd1 0.2500 0.2500 0.2500 1
Dy1 0.0000 0.0000 0.0000 1
Cd1 0.0000 0.0000 0.5000 1

---

*b*
# Nd2DyCd (GGA-PBE, optimized geometry)
# Total magnetic moment ... 0.00 μB/cell
# Calculated volume ... 381.12 Å³/cell
data_Nd2DyCd
_chemical_formula_sum 'Nd6 Dy3 Cd3'
_space_group_name_H-M_alt 'R -3 m'
_space_group_IT_number 166
_space_group_name_Hall '-R 3 2"'
_cell_length_a 3.6334
_cell_length_b 3.6334
_cell_length_c 33.3346
_cell_angle_alpha 90.00
_cell_angle_beta 90.00
_cell_angle_gamma 120.00
loop_
_atom_site_label
_atom_site_fract_x
_atom_site_fract_y
_atom_site_fract_z
_atom_site_occupancy
Nd1 0.0000 0.0000 0.2456 1
Dy1 0.0000 0.0000 0.0000 1
Cd1 0.0000 0.0000 0.5000 1

---

Result of the stability comparison: *b* is the most stable of them.

---

*a*
# Nd2DyCd (GGA-PBE, optimized geometry)
# Total magnetic moment ... 0.00 μB/cell
# Calculated volume ... 383.21 Å³/cell
data_Nd2DyCd
_chemical_formula_sum 'Nd6 Dy3 Cd3'
_space_group_name_H-M_alt 'R 3 m'
_space_group_IT_number 160
_space_group_name_Hall 'R 3 -2"'
_cell_length_a 3.6529
_cell_length_b 3.6529
_cell_length_c 33.1611
_cell_angle_alpha 90.00
_cell_angle_beta 90.00
_cell_angle_gamma 120.00
loop_
_atom_site_label
_atom_site_fract_x
_atom_site_fract_y
_atom_site_fract_z
_atom_site_occupancy
Nd1 0.0000 0.0000 0.0000 1
Nd2 0.0000 0.0000 0.1755 1
Dy1 0.0000 0.0000 0.7547 1
Cd1 0.0000 0.0000 0.5877 1

---

*b*
# Nd2DyCd (GGA-PBE, optimized geometry)
# Total magnetic moment ... 0.00 μB/cell
# Calculated volume ... 124.57 Å³/cell
data_Nd2DyCd
_chemical_formula_sum 'Nd2 Dy1 Cd1'
_space_group_name_H-M_alt 'P 4/m m m'
_space_group_IT_number 123
_space_group_name_Hall '-P 4 2'
_cell_length_a 3.7125
_cell_length_b 3.7125
_cell_length_c 9.0383
_cell_angle_alpha 90.00
_cell_angle_beta 90.00
_cell_angle_gamma 90.00
loop_
_atom_site_label
_atom_site_fract_x
_atom_site_fract_y
_atom_site_fract_z
_atom_site_occupancy
Nd1 0.0000 0.0000 0.2276 1
Dy1 0.5000 0.5000 0.5000 1
Cd1 0.5000 0.5000 0.0000 1

---

Result of the stability comparison: *b* is the most stable of them.

---

*a*
# Nd3DyCd2 (GGA-PBE, optimized geometry)
# Total magnetic moment ... 0.26 μB/cell
# Calculated volume ... 182.49 Å³/cell
data_Nd3DyCd2
_chemical_formula_sum 'Nd3 Dy1 Cd2'
_space_group_name_H-M_alt 'P 4/m m m'
_space_group_IT_number 123
_space_group_name_Hall '-P 4 2'
_cell_length_a 3.7733
_cell_length_b 3.7733
_cell_length_c 12.8173
_cell_angle_alpha 90.00
_cell_angle_beta 90.00
_cell_angle_gamma 90.00
loop_
_atom_site_label
_atom_site_fract_x
_atom_site_fract_y
_atom_site_fract_z
_atom_site_occupancy
Nd1 0.0000 0.0000 0.0000 1
Nd2 0.0000 0.0000 0.3098 1
Dy1 0.5000 0.5000 0.5000 1
Cd1 0.5000 0.5000 0.1563 1

---

*b*
# Nd3DyCd2 (GGA-PBE, optimized geometry)
# Total magnetic moment ... 0.00 μB/cell
# Calculated volume ... 355.70 Å³/cell
data_Nd3DyCd2
_chemical_formula_sum 'Nd6 Dy2 Cd4'
_space_group_name_H-M_alt 'C m m m'
_space_group_IT_number 65
_space_group_name_Hall '-C 2 2'
_cell_length_a 4.9631
_cell_length_b 14.8896
_cell_length_c 4.8135
_cell_angle_alpha 90.00
_cell_angle_beta 90.00
_cell_angle_gamma 90.00
loop_
_atom_site_label
_atom_site_fract_x
_atom_site_fract_y
_atom_site_fract_z
_atom_site_occupancy
Nd1 0.0000 0.0000 0.0000 1
Nd2 0.0000 0.3276 0.0000 1
Dy1 0.0000 0.5000 0.5000 1
Cd1 0.0000 0.1643 0.5000 1

---

Result of the stability comparison: *a* is the most stable of them.

---

*a*
# Nd2Dy3Cd2 (GGA-PBE, optimized geometry)
# Total magnetic moment ... 0.00 μB/cell
# Calculated volume ... 420.40 Å³/cell
data_Nd2Dy3Cd2
_chemical_formula_sum 'Nd4 Dy6 Cd4'
_space_group_name_H-M_alt 'C m m m'
_space_group_IT_number 65
_space_group_name_Hall '-C 2 2'
_cell_length_a 3.5879
_cell_length_b 33.0990
_cell_length_c 3.5400
_cell_angle_alpha 90.00
_cell_angle_beta 90.00
_cell_angle_gamma 90.00
loop_
_atom_site_label
_atom_site_fract_x
_atom_site_fract_y
_atom_site_fract_z
_atom_site_occupancy
Nd1 0.0000 0.2023 0.0000 1
Dy1 0.0000 0.0745 0.0000 1
Dy2 0.0000 0.5000 0.5000 1
Cd1 0.0000 0.3640 0.5000 1

---

*b*
# Nd2Dy3Cd2 (GGA-PBE, optimized geometry)
# Total magnetic moment ... 0.00 μB/cell
# Calculated volume ... 624.65 Å³/cell
data_Nd2Dy3Cd2
_chemical_formula_sum 'Nd6 Dy9 Cd6'
_space_group_name_H-M_alt 'R -3 m'
_space_group_IT_number 166
_space_group_name_Hall '-R 3 2"'
_cell_length_a 5.4607
_cell_length_b 5.4607
_cell_length_c 24.1825
_cell_angle_alpha 90.00
_cell_angle_beta 90.00
_cell_angle_gamma 120.00
loop_
_atom_site_label
_atom_site_fract_x
_atom_site_fract_y
_atom_site_fract_z
_atom_site_occupancy
Nd1 0.0000 0.0000 0.0752 1
Dy1 0.0000 0.0000 0.3439 1
Dy2 0.0000 0.0000 0.5000 1
Cd1 0.0000 0.0000 0.2128 1

---

Result of the stability comparison: *b* is the most stable of them.